A plane-wave DFT calculation with PBE was carried out for crystalline BeAsOs3 at its relaxed geometry.

Cell lengths 4.493, 4.493, 4.493 Å; angles 90.00, 90.00, 90.00 degrees
Space group Pm-3m (No. 221)
Asymmetric unit:
Be  0.000  0.000  0.000 (multiplicity 1)
As  0.500  0.500  0.500 (multiplicity 1)
Os  0.000  0.500  0.500 (multiplicity 3)

Calculated values
As for the volume: 18.14 A^3/atom. The formation energy comes out at 9.30 eV per formula unit. The polymorph energy (0 for the lowest one) comes out at 0.858 eV/atom. The magnetization is 0.8 μB/cell.



A plane-wave DFT calculation with PBE was carried out for crystalline YAlTl2 at its relaxed geometry.

Cell lengths 3.752, 3.752, 7.385 Å; angles 90.00, 90.00, 90.00 degrees
Space group P4mm (No. 99)
Asymmetric unit:
Y  0.000  0.000  0.000 (multiplicity 1)
Al  0.500  0.500  0.231 (multiplicity 1)
Tl  0.000  0.000  0.459 (multiplicity 1)
Tl  0.500  0.500  0.727 (multiplicity 1)

Calculated values
As for the volume: 25.99 A^3/atom. The formation energy comes out at -0.29 eV per formula unit. The polymorph energy (0 for the lowest one) comes out at 0.137 eV/atom. The magnetization is 0.0 μB/cell.